VASP calculation (PBEsol) on a relaxed Re2TeCl crystal.

Computed properties:
E_tot in eV per atom: -6.79
ΔE_f (raw) in meV per atom: 1256
Offset from the most stable computed form in meV/atom: 365
N(E_F) in states/eV/atom: 1.28
Crystal system: orthorhombic
Space-group type: No. 65

Unit cell a=2.899 b=2.928 c=9.193 alpha=90.00 beta=90.00 gamma=119.68
Fractional coordinates of all 4 atoms:
Re  0.000  0.000  0.766
Re  0.000  0.000  0.234
Te  0.500  0.000  0.500
Cl  0.500  0.000  0.000